VASP calculation (PBE with a Hubbard U) on a geometry-optimized InGaCoO4 structure.

Values from the calculation:
DFT total energy = -164.83 eV per cell

abc: 6.066 6.252 8.704
angles: 90.00 90.00 90.00
Space group Imma (No. 74)
One atom of each set of equivalent atoms:
In1 0.000 0.000 0.000 x4
Ga1 0.000 0.250 0.370 x4
Co1 0.250 0.250 0.750 x4
O1 0.000 0.007 0.749 x8
O2 0.250 0.250 0.503 x8